[1]
Here is a geometry-optimized Ca2NiHg structure from Alexandria via LeMat-Bulk. Energies are from GGA-PBEsol.

a b c (Å): 3.5440 4.9152 10.5584
angles (deg): 90.00 90.00 90.00
Last column: nearest neighbours and their distance in Å.
Fractional positions:
Ca1 0.0000 0.0000 0.0000  2 Ni 3.04, 4 Hg 3.16, 2 Ca 3.25
Ca2 0.0000 0.5000 0.2021  4 Ni 3.05, 2 Ca 3.25, 2 Hg 3.34
Ca3 0.5000 0.0000 0.7021  4 Ni 3.05, 2 Ca 3.25, 2 Hg 3.34
Ca4 0.5000 0.5000 0.5000  2 Ni 3.04, 4 Hg 3.16, 2 Ca 3.25
Ni1 0.0000 0.5000 0.7345  2 Hg 2.61
Ni2 0.5000 0.0000 0.2345  2 Hg 2.61
Hg1 0.0000 0.0000 0.4157  2 Ni 2.61
Hg2 0.5000 0.5000 0.9157  2 Ni 2.61

Properties
symmetry: Imm2
calculated formation energy: -0.178 eV/atom
DOS(E_F): 5.35 states/eV per cell

[2]
Here is a geometry-optimized BaY2Cu structure from Alexandria via LeMat-Bulk. Energies are from GGA-PBEsol.

a b c (Å): 6.9987 8.1970 3.8169
angles (deg): 90.00 90.00 90.00
Last column: nearest neighbours and their distance in Å.
Fractional positions:
Ba1 0.0000 0.0000 0.0000  8 Y 3.30, 2 Cu 3.50
Ba2 0.5000 0.5000 0.0000  8 Y 3.30, 2 Cu 3.50
Y1 0.2500 0.2500 0.5000  4 Ba 3.30, 4 Cu 3.30, 2 Y 3.50
Y2 0.2500 0.7500 0.5000  4 Ba 3.30, 4 Cu 3.30, 2 Y 3.50
Y3 0.7500 0.2500 0.5000  4 Cu 3.30, 4 Ba 3.30, 2 Y 3.50
Y4 0.7500 0.7500 0.5000  4 Ba 3.30, 4 Cu 3.30, 2 Y 3.50
Cu1 0.0000 0.5000 0.0000  8 Y 3.30, 2 Ba 3.50
Cu2 0.5000 0.0000 0.0000  8 Y 3.30, 2 Ba 3.50

Properties
symmetry: Cmmm
calculated formation energy: 0.417 eV/atom
offset from the most stable computed form: 0.95 eV per formula unit
DOS(E_F): 7.83 states/eV per cell

[3]
Here is a geometry-optimized MgScBe2 structure from Alexandria via LeMat-Bulk. Energies are from GGA-PBEsol.

a b c (Å): 4.3579 4.3579 3.1684
angles (deg): 90.00 90.00 90.00
Last column: nearest neighbours and their distance in Å.
Fractional positions:
Mg1 0.0000 0.0000 0.0000  8 Be 2.69
Sc1 0.5000 0.5000 0.0000  8 Be 2.69
Be1 0.0000 0.5000 0.5000  4 Mg 2.69, 4 Sc 2.69
Be2 0.5000 0.0000 0.5000  4 Mg 2.69, 4 Sc 2.69

Properties
symmetry: P4/mmm
calculated formation energy: 0.131 eV/atom
DOS(E_F): 2.03 states/eV per cell

[4]
Here is a geometry-optimized CsGaTe3 structure from Alexandria via LeMat-Bulk. Energies are from GGA-PBEsol.

a b c (Å): 6.1521 6.1521 6.1521
angles (deg): 90.00 90.00 90.00
Last column: nearest neighbours and their distance in Å.
Fractional positions:
Cs1 0.0000 0.0000 0.0000  6 Te 3.08
Ga1 0.5000 0.5000 0.5000  12 Te 4.35
Te1 0.0000 0.0000 0.5000  2 Cs 3.08
Te2 0.0000 0.5000 0.0000  2 Cs 3.08
Te3 0.5000 0.0000 0.0000  2 Cs 3.08

Properties
symmetry: Pm-3m
ΔE_f (raw): 948 meV per atom
DOS(E_F): 4.20 states/eV per cell

[5]
Here is a geometry-optimized TbTe2 structure from Alexandria via LeMat-Bulk. Energies are from GGA-PBEsol.

a b c (Å): 4.3821 4.3821 8.7629
angles (deg): 90.00 90.00 90.00
Last column: nearest neighbours and their distance in Å.
Fractional positions:
Tb1 0.2500 0.2500 0.2302  9 Te 3.15-3.22
Tb2 0.7500 0.7500 0.7698  9 Te 3.15-3.22
Te1 0.2500 0.2500 0.8709  5 Tb 3.15-3.22
Te2 0.2500 0.7500 0.5000  4 Te 3.10, 4 Tb 3.22
Te3 0.7500 0.2500 0.5000  4 Te 3.10, 4 Tb 3.22
Te4 0.7500 0.7500 0.1291  5 Tb 3.15-3.22

Properties
symmetry: P4/nmm
ΔE_f (raw): -1211 meV per atom
DOS(E_F): 0.82 states/eV per cell

[6]
Here is a geometry-optimized Ca2SnS4 structure from Alexandria via LeMat-Bulk. Energies are from GGA-PBEsol.

a b c (Å): 12.8681 3.7755 7.5704
angles (deg): 90.00 121.19 90.00
Last column: nearest neighbours and their distance in Å.
Fractional positions:
Ca1 0.1487 0.0000 0.1962  7 S 2.82-2.92
Ca2 0.3513 0.5000 0.8038  7 S 2.82-2.92
Ca3 0.6487 0.5000 0.1962  7 S 2.82-2.92
Ca4 0.8513 0.0000 0.8038  7 S 2.82-2.92
Sn1 0.0000 0.5000 0.5000  6 S 2.47-2.64
Sn2 0.5000 0.0000 0.5000  6 S 2.47-2.64
S1 0.0345 0.5000 0.8529  1 Sn 2.47
S2 0.1638 0.0000 0.5883  2 Sn 2.64, 3 Ca 2.82-2.87
S3 0.3362 0.5000 0.4117  2 Sn 2.64, 3 Ca 2.82-2.87
S4 0.4655 0.0000 0.1471  1 Sn 2.47
S5 0.5345 0.0000 0.8529  1 Sn 2.47
S6 0.6638 0.5000 0.5883  2 Sn 2.64, 3 Ca 2.82-2.87
S7 0.8362 0.0000 0.4117  2 Sn 2.64, 3 Ca 2.82-2.87
S8 0.9655 0.5000 0.1471  1 Sn 2.47

Properties
symmetry: C2/m
ΔE_f (raw): -1337 meV per atom
offset from the most stable computed form: 0.58 eV per formula unit

[7]
Here is a geometry-optimized CuSbIr2 structure from Alexandria via LeMat-Bulk. Energies are from GGA-PBEsol.

a b c (Å): 3.3448 3.3448 5.5013
angles (deg): 90.00 90.00 90.00
Last column: nearest neighbours and their distance in Å.
Fractional positions:
Cu1 0.0000 0.0000 0.0000  6 Ir 2.58-2.86, 4 Sb 2.85
Sb1 0.5000 0.5000 0.7118  6 Ir 2.63-2.87, 4 Cu 2.85
Ir1 0.0000 0.0000 0.4796  2 Cu 2.64-2.86, 4 Sb 2.69, 4 Ir 2.85
Ir2 0.5000 0.5000 0.1896  4 Cu 2.58, 2 Sb 2.63-2.87, 4 Ir 2.85

Properties
symmetry: P4mm
ΔE_f (raw): 327 meV per atom
DOS(E_F): 4.02 states/eV per cell

[8]
Here is a geometry-optimized InHgPb2 structure from Alexandria via LeMat-Bulk. Energies are from GGA-PBEsol.

a b c (Å): 3.5613 5.6953 10.8201
angles (deg): 90.00 90.00 90.00
Last column: nearest neighbours and their distance in Å.
Fractional positions:
In1 0.0000 0.0000 0.0000  2 Hg 3.04, 2 Pb 3.31, 4 In 3.36
In2 0.5000 0.5000 0.0000  2 Hg 3.04, 2 Pb 3.31, 4 In 3.36
Hg1 0.0000 0.5000 0.2279  2 In 3.04, 2 Pb 3.20, 4 Hg 3.36
Hg2 0.5000 0.0000 0.2279  2 In 3.04, 2 Pb 3.20, 4 Hg 3.36
Pb1 0.0000 0.0000 0.4736  2 Hg 3.20, 8 Pb 3.36-3.56
Pb2 0.0000 0.5000 0.7426  2 In 3.31, 8 Pb 3.36-3.56
Pb3 0.5000 0.0000 0.7426  2 In 3.31, 8 Pb 3.36-3.56
Pb4 0.5000 0.5000 0.4736  2 Hg 3.20, 8 Pb 3.36-3.56

Properties
symmetry: Cmm2
calculated formation energy: 0.016 eV/atom
offset from the most stable computed form: 0.07 eV per formula unit
DOS(E_F): 3.76 states/eV per cell

[9]
Here is a geometry-optimized Zr2CdCo structure from Alexandria via LeMat-Bulk. Energies are from GGA-PBEsol.

a b c (Å): 4.1902 3.2964 10.7930
angles (deg): 90.00 90.00 90.00
Last column: nearest neighbours and their distance in Å.
Fractional positions:
Zr1 0.0000 0.0000 0.0000  1 Co 2.45
Zr2 0.0000 0.5000 0.5000  1 Co 2.45
Zr3 0.5000 0.0000 0.3259  4 Co 2.73, 3 Cd 2.89-3.02
Zr4 0.5000 0.5000 0.8259  4 Co 2.73, 3 Cd 2.89-3.02
Cd1 0.5000 0.0000 0.6058  2 Co 2.76, 7 Zr 2.89-3.02
Cd2 0.5000 0.5000 0.1058  2 Co 2.76, 7 Zr 2.89-3.02
Co1 0.0000 0.0000 0.7727  5 Zr 2.45-2.73
Co2 0.0000 0.5000 0.2727  5 Zr 2.45-2.73

Properties
symmetry: Amm2
calculated formation energy: -0.054 eV/atom
DOS(E_F): 7.09 states/eV per cell

[10]
Here is a geometry-optimized Rb2CdGe structure from Alexandria via LeMat-Bulk. Energies are from GGA-PBEsol.

a b c (Å): 8.4230 8.4230 8.4230
angles (deg): 90.00 90.00 90.00
Last column: nearest neighbours and their distance in Å.
Fractional positions:
Rb1 0.2500 0.2500 0.2500  4 Ge 3.65, 4 Cd 3.65
Rb2 0.2500 0.2500 0.7500  4 Ge 3.65, 4 Cd 3.65
Rb3 0.2500 0.7500 0.2500  4 Ge 3.65, 4 Cd 3.65
Rb4 0.2500 0.7500 0.7500  4 Ge 3.65, 4 Cd 3.65
Rb5 0.7500 0.2500 0.2500  4 Ge 3.65, 4 Cd 3.65
Rb6 0.7500 0.2500 0.7500  4 Ge 3.65, 4 Cd 3.65
Rb7 0.7500 0.7500 0.2500  4 Ge 3.65, 4 Cd 3.65
Rb8 0.7500 0.7500 0.7500  4 Ge 3.65, 4 Cd 3.65
Cd1 0.0000 0.0000 0.0000  8 Rb 3.65
Cd2 0.0000 0.5000 0.5000  8 Rb 3.65
Cd3 0.5000 0.0000 0.5000  8 Rb 3.65
Cd4 0.5000 0.5000 0.0000  8 Rb 3.65
Ge1 0.0000 0.0000 0.5000  8 Rb 3.65
Ge2 0.0000 0.5000 0.0000  8 Rb 3.65
Ge3 0.5000 0.0000 0.0000  8 Rb 3.65
Ge4 0.5000 0.5000 0.5000  8 Rb 3.65

Properties
symmetry: Fm-3m
calculated formation energy: 0.313 eV/atom
DOS(E_F): 14.39 states/eV per cell

[11]
Here is a geometry-optimized Cr2Os structure from Alexandria via LeMat-Bulk. Energies are from GGA-PBEsol.

a b c (Å): 9.2984 2.8637 5.7439
angles (deg): 90.00 107.78 90.00
Last column: nearest neighbours and their distance in Å.
Fractional positions:
Cr1 0.1753 0.0000 0.0846  4 Cr 2.39-2.40, 4 Os 2.57-2.59
Cr2 0.1851 0.0000 0.5924  4 Cr 2.33-2.39, 4 Os 2.57-2.59
Cr3 0.3149 0.5000 0.4076  4 Cr 2.33-2.39, 4 Os 2.57-2.59
Cr4 0.3247 0.5000 0.9154  4 Cr 2.39-2.40, 4 Os 2.57-2.59
Cr5 0.6753 0.5000 0.0846  4 Cr 2.39-2.40, 4 Os 2.57-2.59
Cr6 0.6851 0.5000 0.5924  4 Cr 2.33-2.39, 4 Os 2.57-2.59
Cr7 0.8149 0.0000 0.4076  4 Cr 2.33-2.39, 4 Os 2.57-2.59
Cr8 0.8247 0.0000 0.9154  4 Cr 2.39-2.40, 4 Os 2.57-2.59
Os1 0.0007 0.5000 0.7414  10 Cr 2.57-2.87, 3 Os 2.77-2.86
Os2 0.4993 0.0000 0.2586  10 Cr 2.57-2.87, 3 Os 2.77-2.86
Os3 0.5007 0.0000 0.7414  10 Cr 2.57-2.87, 3 Os 2.77-2.86
Os4 0.9993 0.5000 0.2586  10 Cr 2.57-2.87, 3 Os 2.77-2.86

Properties
symmetry: C2/m
calculated formation energy: 0.093 eV/atom
DOS(E_F): 12.52 states/eV per cell

[12]
Here is a geometry-optimized TaSe2IBr structure from Alexandria via LeMat-Bulk. Energies are from GGA-PBEsol.

a b c (Å): 5.3481 5.3481 5.2931
angles (deg): 90.00 90.00 90.00
Last column: nearest neighbours and their distance in Å.
Fractional positions:
Ta1 0.0000 0.0000 0.0000  8 Se 3.76, 4 Br 3.78
Se1 0.0000 0.5000 0.5000  2 I 2.67
Se2 0.5000 0.0000 0.5000  2 I 2.67
I1 0.5000 0.5000 0.5000  2 Br 2.65, 4 Se 2.67
Br1 0.5000 0.5000 0.0000  2 I 2.65

Properties
symmetry: P4/mmm
ΔE_f (raw): 1541 meV per atom
DOS(E_F): 6.45 states/eV per cell